DFT (PBE) results for a geometry-optimized LaAlTlCd structure.

Cell: 7.464 7.464 7.464 Å, 90.00 90.00 90.00°
Positions (direct):
La1 0.000 0.000 0.000
La2 0.000 0.500 0.500
La3 0.500 0.000 0.500
La4 0.500 0.500 0.000
Al1 0.250 0.250 0.750
Al2 0.250 0.750 0.250
Al3 0.750 0.250 0.250
Al4 0.750 0.750 0.750
Tl1 0.250 0.250 0.250
Tl2 0.250 0.750 0.750
Tl3 0.750 0.250 0.750
Tl4 0.750 0.750 0.250
Cd1 0.000 0.000 0.500
Cd2 0.000 0.500 0.000
Cd3 0.500 0.000 0.000
Cd4 0.500 0.500 0.500

Results
- E_form (meV/atom) = -161

=====

DFT (PBE) results for a geometry-optimized ZnReOs2 structure.

Cell: 4.456 4.456 2.931 Å, 90.00 90.00 90.00°
Positions (direct):
Zn1 0.000 0.000 0.000
Re1 0.500 0.500 0.000
Os1 0.000 0.500 0.500
Os2 0.500 0.000 0.500

Results
- E_form (meV/atom) = 409

=====

DFT (PBE) results for a geometry-optimized Mg4Ag2N structure.

Cell: 4.176 4.176 14.505 Å, 90.00 90.00 90.00°
Positions (direct):
Mg1 0.000 0.000 0.152
Mg2 0.000 0.000 0.848
Mg3 0.000 0.500 0.000
Mg4 0.000 0.500 0.500
Mg5 0.500 0.000 0.000
Mg6 0.500 0.000 0.500
Mg7 0.500 0.500 0.348
Mg8 0.500 0.500 0.652
Ag1 0.000 0.000 0.345
Ag2 0.000 0.000 0.655
Ag3 0.500 0.500 0.155
Ag4 0.500 0.500 0.845
N1 0.000 0.000 0.000
N2 0.500 0.500 0.500

Results
- uncorrected energy (eV/atom) = -3.14

=====

Which formula does entry 3 have?
Mg4Ag2N